A plane-wave DFT calculation with PBEsol was carried out for NaCaAlOF6 after structural relaxation.

Values from the calculation:
- Crystal system: monoclinic
- Uncorrected formation energy: -3.12 eV/atom
- VASP energy: -5.566 eV/atom
- Density: 2.89 g/cm3
- Magnetic moment: 4.0 μB/cell

Geometry as extended XYZ:
```
40
Lattice="5.5356 0.0000 0.0000 0.0000 5.6268 0.0000 -0.7033 0.0000 16.2485" Properties=species:S:1:pos:R:3 pbc="T T T"
Na 1.1661 1.0601 4.0910
Na 0.8144 1.7533 12.2153
Na 4.0178 3.8735 4.0333
Na 3.6662 4.5668 12.1575
Ca 1.2466 4.1478 1.7894
Ca 0.8950 4.2925 9.9136
Ca 3.9373 1.3344 6.3349
Ca 3.5856 1.4791 14.4592
Al 1.2435 4.0579 5.9083
Al 0.8918 4.3824 14.0326
Al 3.9404 1.2445 2.2160
Al 3.5888 1.5690 10.3402
O 0.1148 0.4019 8.0789
O -0.2368 2.4116 16.2031
O 5.0691 3.2153 0.0454
O 4.7174 5.2250 8.1696
F -0.4398 0.5297 10.5977
F -0.0882 2.2837 2.4734
F -0.1350 0.2506 13.7520
F 0.2166 2.5628 5.6278
F 1.1464 3.7993 7.6792
F 0.7948 4.6410 15.8035
F 1.4678 4.1786 4.0750
F 1.1162 4.2617 12.1993
F 1.8221 2.8186 14.1902
F 2.1738 5.6217 6.0659
F 2.3931 0.3182 2.2475
F 2.0415 2.4952 10.3718
F 2.7908 3.1316 5.8767
F 2.4391 5.3086 14.0010
F 2.6585 0.0052 10.1826
F 3.0101 2.8082 2.0583
F 3.7161 1.3652 4.0492
F 3.3644 1.4482 12.1735
F 4.0375 0.9859 0.4451
F 3.6858 1.8275 8.5693
F 4.6156 3.0640 10.6207
F 4.9673 5.3763 2.4965
F 4.9204 3.3431 13.7751
F 5.2721 5.0972 5.6508
```